Entry 1:
NpURh2 | Alexandria via LeMat-Bulk | GGA-PBE | relaxed; space-group type = R-3m (166); total energy = -9.799 eV/atom
1.0
2.8426 0.0000 0.0000
1.4213 2.4617 0.0000
1.4213 0.8206 10.0800
Np U Rh
1 1 2
direct
0.5000 0.5000 0.5000
0.0000 0.0000 0.0000
0.2506 0.2506 0.2481
0.7494 0.7494 0.7519

Entry 2:
AcErNi2As2 | Alexandria via LeMat-Bulk | GGA-PBE | relaxed; space-group type = P-3m1 (164); total energy = -5.933 eV/atom
1.0
4.1483 0.0000 0.0000
-2.0742 3.5926 0.0000
0.0000 0.0000 8.0813
Ni As Ac Er
2 2 1 1
direct
0.3333 0.6667 0.7269
0.6667 0.3333 0.2731
0.6667 0.3333 0.7245
0.3333 0.6667 0.2755
0.0000 0.0000 0.0000
0.0000 0.0000 0.5000

no.,E_form (kJ/mol of formula units)
1,-25.4
2,-585.2